# GaCo4Ge3 (GGA-PBE, optimized geometry)
data_GaCo4Ge3
_chemical_formula_sum 'Ga3 Co12 Ge9'
_symmetry_space_group_name_H-M 'R 3'
_symmetry_Int_Tables_number 146
_symmetry_space_group_name_Hall 'R 3'
_cell_length_a 6.5232
_cell_length_b 6.5232
_cell_length_c 8.1093
_cell_angle_alpha 90.00
_cell_angle_beta 90.00
_cell_angle_gamma 120.00
loop_
_atom_site_label
_atom_site_type_symbol
_atom_site_fract_x
_atom_site_fract_y
_atom_site_fract_z
_atom_site_occupancy
Ga1 Ga 0.0000 0.0000 0.0000 1
Co1 Co 0.0000 0.0000 0.3007 1
Co2 Co 0.0128 0.2573 0.7778 1
Ge1 Ge 0.1025 0.7139 0.2125 1
# - uncorrected energy (eV per atom) = -5.89
# - magnetic moment (μB/f.u.) = 1.11
# - calculated formation energy (eV/f.u.) = -1.9
# - calculated volume (Å³ per atom) = 12.452
# - crystal system = trigonal

***

# GaCoGe2 (GGA-PBE, optimized geometry)
data_GaCoGe2
_chemical_formula_sum 'Ga4 Co4 Ge8'
_symmetry_space_group_name_H-M 'I -4 2 d'
_symmetry_Int_Tables_number 122
_symmetry_space_group_name_Hall 'I -4 2bw'
_cell_length_a 4.1940
_cell_length_b 4.1940
_cell_length_c 15.5629
_cell_angle_alpha 90.00
_cell_angle_beta 90.00
_cell_angle_gamma 90.00
loop_
_atom_site_label
_atom_site_type_symbol
_atom_site_fract_x
_atom_site_fract_y
_atom_site_fract_z
_atom_site_occupancy
Ga1 Ga 0.0000 0.0000 0.0000 1
Co1 Co 0.0000 0.0000 0.5000 1
Ge1 Ge 0.1949 0.2500 0.6250 1
# - uncorrected energy (eV per atom) = -4.66
# - magnetic moment (μB/f.u.) = 0.00
# - calculated formation energy (eV/f.u.) = 0.7
# - calculated volume (Å³ per atom) = 17.109
# - crystal system = tetragonal

***

# GaCo2Ge2 (GGA-PBE, optimized geometry)
data_GaCo2Ge2
_chemical_formula_sum 'Ga4 Co8 Ge8'
_symmetry_space_group_name_H-M 'C 1 2/c 1'
_symmetry_Int_Tables_number 15
_cell_length_a 8.9018
_cell_length_b 7.6781
_cell_length_c 4.7511
_cell_angle_alpha 90.00
_cell_angle_beta 115.47
_cell_angle_gamma 90.00
loop_
_symmetry_equiv_pos_as_xyz
'x,y,z'
'-x,-y,-z'
'-x,y,-z+1/2'
'x,-y,z+1/2'
'x+1/2,y+1/2,z'
'-x+1/2,-y+1/2,-z'
'-x+1/2,y+1/2,-z+1/2'
'x+1/2,-y+1/2,z+1/2'
loop_
_atom_site_label
_atom_site_type_symbol
_atom_site_fract_x
_atom_site_fract_y
_atom_site_fract_z
_atom_site_occupancy
Ga1 Ga 0.0000 0.1147 0.2500 1
Co1 Co 0.0000 0.2057 0.7500 1
Co2 Co 0.0000 0.4281 0.2500 1
Ge1 Ge 0.2175 0.3937 0.1060 1
# - uncorrected energy (eV per atom) = -5.43
# - magnetic moment (μB/f.u.) = 0.36
# - calculated formation energy (eV/f.u.) = -0.7
# - calculated volume (Å³ per atom) = 14.659
# - crystal system = monoclinic
# - polymorph energy (0 for the lowest one) (eV per atom) = 0.082

***

# Ga2CoGe2 (GGA-PBE, optimized geometry)
data_Ga2CoGe2
_chemical_formula_sum 'Ga4 Co2 Ge4'
_symmetry_space_group_name_H-M 'P 4/m b m'
_symmetry_Int_Tables_number 127
_symmetry_space_group_name_Hall '-P 4 2ab'
_cell_length_a 6.1739
_cell_length_b 6.1739
_cell_length_c 4.4855
_cell_angle_alpha 90.00
_cell_angle_beta 90.00
_cell_angle_gamma 90.00
loop_
_atom_site_label
_atom_site_type_symbol
_atom_site_fract_x
_atom_site_fract_y
_atom_site_fract_z
_atom_site_occupancy
Ga1 Ga 0.1736 0.3264 0.0000 1
Co1 Co 0.0000 0.0000 0.5000 1
Ge1 Ge 0.1503 0.6503 0.5000 1
# - uncorrected energy (eV per atom) = -4.34
# - magnetic moment (μB/f.u.) = 0.00
# - calculated formation energy (eV/f.u.) = 0.7
# - calculated volume (Å³ per atom) = 17.098
# - crystal system = tetragonal

***

# GaCo2Ge (GGA-PBE, optimized geometry)
data_GaCo2Ge
_chemical_formula_sum 'Ga1 Co2 Ge1'
_symmetry_space_group_name_H-M 'P 4/m m m'
_symmetry_Int_Tables_number 123
_symmetry_space_group_name_Hall '-P 4 2'
_cell_length_a 3.9420
_cell_length_b 3.9420
_cell_length_c 3.1191
_cell_angle_alpha 90.00
_cell_angle_beta 90.00
_cell_angle_gamma 90.00
loop_
_atom_site_label
_atom_site_type_symbol
_atom_site_fract_x
_atom_site_fract_y
_atom_site_fract_z
_atom_site_occupancy
Ga1 Ga 0.0000 0.0000 0.0000 1
Co1 Co 0.0000 0.5000 0.5000 1
Ge1 Ge 0.5000 0.5000 0.0000 1
# - uncorrected energy (eV per atom) = -5.62
# - magnetic moment (μB/f.u.) = 0.00
# - calculated formation energy (eV/f.u.) = -0.6
# - calculated volume (Å³ per atom) = 12.117
# - crystal system = tetragonal

***

# Ga3Co4Ge (GGA-PBE, optimized geometry)
data_Ga3Co4Ge
_chemical_formula_sum 'Ga9 Co12 Ge3'
_symmetry_space_group_name_H-M 'R 3'
_symmetry_Int_Tables_number 146
_symmetry_space_group_name_Hall 'R 3'
_cell_length_a 6.6016
_cell_length_b 6.6016
_cell_length_c 7.9552
_cell_angle_alpha 90.00
_cell_angle_beta 90.00
_cell_angle_gamma 120.00
loop_
_atom_site_label
_atom_site_type_symbol
_atom_site_fract_x
_atom_site_fract_y
_atom_site_fract_z
_atom_site_occupancy
Ga1 Ga 0.1088 0.7094 0.0000 1
Co1 Co 0.0000 0.0000 0.0837 1
Co2 Co 0.0231 0.2621 0.5698 1
Ge1 Ge 0.0000 0.0000 0.7880 1
# - uncorrected energy (eV per atom) = -5.49
# - magnetic moment (μB/f.u.) = 2.37
# - calculated formation energy (eV/f.u.) = -1.8
# - calculated volume (Å³ per atom) = 12.510
# - crystal system = trigonal
# - polymorph energy (0 for the lowest one) (eV per atom) = 0.000

***

# GaCo4Ge (GGA-PBE, optimized geometry)
data_GaCo4Ge
_chemical_formula_sum 'Ga2 Co8 Ge2'
_symmetry_space_group_name_H-M 'C 1 2/m 1'
_symmetry_Int_Tables_number 12
_cell_length_a 5.4655
_cell_length_b 5.4657
_cell_length_c 5.4549
_cell_angle_alpha 90.00
_cell_angle_beta 90.11
_cell_angle_gamma 90.00
loop_
_symmetry_equiv_pos_as_xyz
'x,y,z'
'-x,-y,-z'
'-x,y,-z'
'x,-y,z'
'x+1/2,y+1/2,z'
'-x+1/2,-y+1/2,-z'
'-x+1/2,y+1/2,-z'
'x+1/2,-y+1/2,z'
loop_
_atom_site_label
_atom_site_type_symbol
_atom_site_fract_x
_atom_site_fract_y
_atom_site_fract_z
_atom_site_occupancy
Ga1 Ga 0.0000 0.0000 0.0000 1
Co1 Co 0.2502 0.2503 0.2555 1
Ge1 Ge 0.0000 0.5000 0.5000 1
# - uncorrected energy (eV per atom) = -5.79
# - magnetic moment (μB/f.u.) = 3.17
# - calculated formation energy (eV/f.u.) = 1.3
# - calculated volume (Å³ per atom) = 13.579
# - crystal system = monoclinic

***

# GaCoGe2 (GGA-PBE, optimized geometry)
data_GaCoGe2
_chemical_formula_sum 'Ga2 Co2 Ge4'
_symmetry_space_group_name_H-M 'P 1 21/m 1'
_symmetry_Int_Tables_number 11
_cell_length_a 3.7225
_cell_length_b 7.6608
_cell_length_c 4.6936
_cell_angle_alpha 90.00
_cell_angle_beta 113.01
_cell_angle_gamma 90.00
loop_
_symmetry_equiv_pos_as_xyz
'x,y,z'
'-x,-y,-z'
'-x,y+1/2,-z'
'x,-y+1/2,z'
loop_
_atom_site_label
_atom_site_type_symbol
_atom_site_fract_x
_atom_site_fract_y
_atom_site_fract_z
_atom_site_occupancy
Ga1 Ga 0.0709 0.2500 0.1420 1
Co1 Co 0.2148 0.7500 0.4305 1
Ge1 Ge 0.3561 0.0461 0.7131 1
# - uncorrected energy (eV per atom) = -4.92
# - magnetic moment (μB/f.u.) = 0.00
# - calculated formation energy (eV/f.u.) = -0.3
# - calculated volume (Å³ per atom) = 15.400
# - crystal system = monoclinic

***

# Ga5Co6Ge (GGA-PBE, optimized geometry)
data_Ga5Co6Ge
_chemical_formula_sum 'Ga10 Co12 Ge2'
_symmetry_space_group_name_H-M 'C m m m'
_symmetry_Int_Tables_number 65
_symmetry_space_group_name_Hall '-C 2 2'
_cell_length_a 4.0848
_cell_length_b 12.2668
_cell_length_c 5.7546
_cell_angle_alpha 90.00
_cell_angle_beta 90.00
_cell_angle_gamma 90.00
loop_
_atom_site_label
_atom_site_type_symbol
_atom_site_fract_x
_atom_site_fract_y
_atom_site_fract_z
_atom_site_occupancy
Ga1 Ga 0.0000 0.0000 0.0000 1
Ga2 Ga 0.0000 0.3296 0.5000 1
Ga3 Ga 0.0000 0.3332 0.0000 1
Co1 Co 0.0000 0.1634 0.2513 1
Co2 Co 0.0000 0.5000 0.2579 1
Ge1 Ge 0.0000 0.0000 0.5000 1
# - uncorrected energy (eV per atom) = -5.45
# - magnetic moment (μB/f.u.) = 2.14
# - calculated formation energy (eV/f.u.) = -3.0
# - calculated volume (Å³ per atom) = 12.015
# - crystal system = orthorhombic

***

# GaCo4Ge2 (GGA-PBE, optimized geometry)
data_GaCo4Ge2
_chemical_formula_sum 'Ga2 Co8 Ge4'
_symmetry_space_group_name_H-M 'I 4/m m m'
_symmetry_Int_Tables_number 139
_symmetry_space_group_name_Hall '-I 4 2'
_cell_length_a 4.2376
_cell_length_b 4.2376
_cell_length_c 12.1382
_cell_angle_alpha 90.00
_cell_angle_beta 90.00
_cell_angle_gamma 90.00
loop_
_atom_site_label
_atom_site_type_symbol
_atom_site_fract_x
_atom_site_fract_y
_atom_site_fract_z
_atom_site_occupancy
Ga1 Ga 0.0000 0.0000 0.0000 1
Co1 Co 0.0000 0.0000 0.1915 1
Co2 Co 0.0000 0.5000 0.0000 1
Ge1 Ge 0.0000 0.0000 0.3802 1
# - uncorrected energy (eV per atom) = -5.17
# - magnetic moment (μB/f.u.) = 4.28
# - calculated formation energy (eV/f.u.) = 4.5
# - calculated volume (Å³ per atom) = 15.570
# - crystal system = tetragonal

***

# GaCo2Ge2 (GGA-PBE, optimized geometry)
data_GaCo2Ge2
_chemical_formula_sum 'Ga2 Co4 Ge4'
_symmetry_space_group_name_H-M 'I 4/m m m'
_symmetry_Int_Tables_number 139
_symmetry_space_group_name_Hall '-I 4 2'
_cell_length_a 3.9749
_cell_length_b 3.9749
_cell_length_c 9.8661
_cell_angle_alpha 90.00
_cell_angle_beta 90.00
_cell_angle_gamma 90.00
loop_
_atom_site_label
_atom_site_type_symbol
_atom_site_fract_x
_atom_site_fract_y
_atom_site_fract_z
_atom_site_occupancy
Ga1 Ga 0.0000 0.0000 0.0000 1
Co1 Co 0.0000 0.5000 0.2500 1
Ge1 Ge 0.0000 0.0000 0.3733 1
# - uncorrected energy (eV per atom) = -5.22
# - magnetic moment (μB/f.u.) = 0.00
# - calculated formation energy (eV/f.u.) = 0.4
# - calculated volume (Å³ per atom) = 15.589
# - crystal system = tetragonal
# - polymorph energy (0 for the lowest one) (eV per atom) = 0.292

***

# Ga2Co8Ge3 (GGA-PBE, optimized geometry)
data_Ga2Co8Ge3
_chemical_formula_sum 'Ga6 Co24 Ge9'
_symmetry_space_group_name_H-M 'R -3 m'
_symmetry_Int_Tables_number 166
_symmetry_space_group_name_Hall '-R 3 2"'
_cell_length_a 4.7709
_cell_length_b 4.7709
_cell_length_c 26.3968
_cell_angle_alpha 90.00
_cell_angle_beta 90.00
_cell_angle_gamma 120.00
loop_
_atom_site_label
_atom_site_type_symbol
_atom_site_fract_x
_atom_site_fract_y
_atom_site_fract_z
_atom_site_occupancy
Ga1 Ga 0.0000 0.0000 0.1354 1
Co1 Co 0.0000 0.0000 0.2261 1
Co2 Co 0.0005 0.5003 0.7245 1
Ge1 Ge 0.0000 0.0000 0.3130 1
Ge2 Ge 0.0000 0.0000 0.5000 1
# - uncorrected energy (eV per atom) = -5.74
# - magnetic moment (μB/f.u.) = 10.26
# - calculated formation energy (eV/f.u.) = 2.1
# - calculated volume (Å³ per atom) = 13.342
# - crystal system = trigonal

***

Question: calculated formation energy of number 5 (GaCo2Ge)?
Answer: -0.6 eV/f.u.